Entry 1:
8
Lattice="3.2964 0.0000 0.0000 -1.6482 2.8548 0.0000 0.0000 0.0000 12.7817" Properties=species:S:1:pos:R:3 comment="Nb4SnC2S PBE-GGA optimized geometry" energy_ev_per_atom=-8.97 pbc="T T T"
Nb 0.0000 0.0000 1.7899
Nb 0.0000 0.0000 10.9918
Nb 1.6482 0.9516 4.0500
Nb 1.6482 0.9516 8.7316
Sn 0.0000 0.0000 6.3908
C 0.0000 1.9032 2.9525
C 0.0000 1.9032 9.8291
S 1.6482 0.9516 0.0000

***

Entry 2:
8
Lattice="3.3157 0.0000 0.0000 -1.6579 2.8715 0.0000 0.0000 0.0000 15.8312" Properties=species:S:1:pos:R:3 comment="NbSnCS PBE-GGA optimized geometry" energy_ev_per_atom=-6.96 e_above_lowest_polymorph_ev_per_atom=0.005 pbc="T T T"
Nb 0.0000 1.9143 0.0000
Nb 1.6579 0.9572 7.9156
Sn 0.0000 0.0000 3.2214
Sn 0.0000 0.0000 11.1370
C 0.0000 0.0000 0.9403
C 0.0000 0.0000 8.8559
S 0.0000 0.0000 6.2311
S 0.0000 0.0000 14.1467

***

Entry 3:
8
Lattice="3.4466 0.0000 0.0000 -1.7233 2.9848 0.0000 0.0000 0.0000 12.4339" Properties=species:S:1:pos:R:3 comment="TbNbCS PBE-GGA optimized geometry" energy_ev_per_atom=-8.01 e_above_lowest_polymorph_ev_per_atom=0.000 pbc="T T T"
Tb 0.0000 0.0000 1.9503
Tb 0.0000 0.0000 10.4837
Nb 1.7233 0.9949 4.5101
Nb 1.7233 0.9949 7.9238
C 0.0000 1.9899 3.4081
C 0.0000 1.9899 9.0259
S 0.0000 0.0000 6.2170
S 1.7233 0.9949 0.0000

***

Entry 4:
8
Lattice="3.5073 0.0000 0.0000 -1.7536 3.0374 0.0000 0.0000 0.0000 12.3262" Properties=species:S:1:pos:R:3 comment="TbNbCS PBE-GGA optimized geometry" energy_ev_per_atom=-7.97 e_above_lowest_polymorph_ev_per_atom=0.038 pbc="T T T"
Tb 0.0000 2.0249 1.3789
Tb 1.7536 1.0125 10.9472
Nb 0.0000 2.0249 5.1285
Nb 1.7536 1.0125 7.1977
C 0.0000 0.0000 0.0000
C 0.0000 0.0000 6.1631
S 0.0000 2.0249 8.9174
S 1.7536 1.0125 3.4087

***

Entry 5:
5
Lattice="3.3505 0.0000 0.0000 -1.6753 2.9016 0.0000 0.0000 0.0000 9.9747" Properties=species:S:1:pos:R:3 comment="Nb2TeCS PBE-GGA optimized geometry" energy_ev_per_atom=-8.03 pbc="T T T"
Nb 0.0000 0.0000 0.0000
Nb 0.0000 1.9344 2.3177
Te 0.0000 0.0000 4.4374
C 1.6753 0.9672 1.2117
S 0.0000 1.9344 8.3701

***

Entry 6:
8
Lattice="3.2783 0.0000 0.0000 -1.6392 2.8391 0.0000 0.0000 0.0000 13.0664" Properties=species:S:1:pos:R:3 comment="Nb4TlC2S PBE-GGA optimized geometry" energy_ev_per_atom=-8.70 pbc="T T T"
Nb 0.0000 0.0000 1.7909
Nb 0.0000 0.0000 11.2756
Nb 1.6392 0.9464 4.0788
Nb 1.6392 0.9464 8.9876
Tl 0.0000 0.0000 6.5332
C 0.0000 1.8927 2.9839
C 0.0000 1.8927 10.0825
S 1.6392 0.9464 0.0000

***

Entry 7:
8
Lattice="3.4789 0.0000 0.0000 -1.7395 3.0128 0.0000 0.0000 0.0000 12.1038" Properties=species:S:1:pos:R:3 comment="TmNbCS PBE-GGA optimized geometry" energy_ev_per_atom=-7.99 pbc="T T T"
Tm 0.0000 2.0086 4.7289
Tm 1.7395 1.0043 7.3749
Nb 0.0000 2.0086 1.0367
Nb 1.7395 1.0043 11.0671
C 0.0000 0.0000 0.0000
C 0.0000 0.0000 6.0519
S 0.0000 2.0086 9.3254
S 1.7395 1.0043 2.7784

***

Entry 8:
24
Lattice="4.9321 -2.8370 0.0000 4.9321 2.8370 0.0000 -3.1299 0.0000 11.7323" Properties=species:S:1:pos:R:3 comment="Nb4W2C3S3 PBE-GGA optimized geometry" energy_ev_per_atom=-9.34 pbc="T T T"
Nb 0.8220 0.3867 1.1917
Nb 0.8142 0.5114 4.6743
Nb -0.7429 -0.3867 7.0579
Nb -0.7507 -0.5114 10.5404
Nb 7.4851 0.5114 1.1919
Nb 7.4773 0.3867 4.6744
Nb 5.9202 -0.5114 7.0580
Nb 5.9124 -0.3867 10.5406
W 4.0351 0.5190 0.9453
W 4.2642 0.5190 4.9209
W 2.4702 -0.5190 6.8114
W 2.6993 -0.5190 10.7870
C 2.4661 1.4185 0.0000
C 2.5731 1.3563 5.8595
C 5.7262 1.3563 0.0066
C 0.9011 -1.4185 5.8661
C 1.0082 -1.3563 11.7257
C 4.1613 -1.3563 5.8728
S 4.1497 2.2382 2.9331
S 1.0212 0.4270 8.7837
S 2.5861 -0.4270 2.9176
S 4.1483 0.4270 8.8147
S 5.7132 -0.4270 2.9486
S 2.5847 -2.2382 8.7992

***

Entry 9:
24
Lattice="5.1218 -2.9700 0.0000 5.1218 2.9700 0.0000 -3.3540 0.0000 12.0626" Properties=species:S:1:pos:R:3 comment="Y2Nb4C3S3 PBE-GGA optimized geometry" energy_ev_per_atom=-8.72 pbc="T T T"
Y 2.6290 2.4950 7.3777
Y 2.5834 2.4950 10.7161
Y 4.3061 -2.4950 1.3464
Y 4.2604 -2.4950 4.6849
Nb 2.5372 0.4592 1.0911
Nb 2.5753 0.5323 4.9410
Nb 0.8601 -0.4592 7.1224
Nb 0.8983 -0.5323 10.9723
Nb 5.9912 0.5323 1.0902
Nb 6.0293 0.4592 4.9402
Nb 4.3142 -0.5323 7.1215
Nb 4.3523 -0.4592 10.9714
C 0.8839 1.4850 6.0313
C 4.2209 1.4067 0.0000
C 4.3456 1.4067 6.0313
C 2.5609 -1.4850 0.0000
C 2.5439 -1.4067 6.0313
C 6.0226 -1.4067 0.0000
S -0.6537 0.5886 9.0536
S 1.0233 -0.5886 3.0223
S 2.6062 0.3301 9.0469
S 4.2833 -0.3301 3.0156
S 5.8662 0.5886 9.0402
S 7.5432 -0.5886 3.0089

***

Entry 10:
8
Lattice="3.2398 0.0000 0.0000 -1.6199 2.8057 0.0000 0.0000 0.0000 12.6334" Properties=species:S:1:pos:R:3 comment="Nb4ZnC2S PBE-GGA optimized geometry" energy_ev_per_atom=-8.59 pbc="T T T"
Nb 0.0000 0.0000 1.7917
Nb 0.0000 0.0000 10.8417
Nb 0.0000 1.8705 4.1253
Nb 0.0000 1.8705 8.5080
Zn 0.0000 0.0000 6.3167
C 1.6199 0.9352 3.0185
C 1.6199 0.9352 9.6148
S 0.0000 1.8705 0.0000

***

Entry 11:
8
Lattice="3.2398 0.0000 0.0000 -1.6199 2.8057 0.0000 0.0000 0.0000 12.6327" Properties=species:S:1:pos:R:3 comment="Nb4ZnC2S PBE-GGA optimized geometry" energy_ev_per_atom=-8.59 pbc="T T T"
Nb 0.0000 0.0000 1.7918
Nb 0.0000 0.0000 10.8410
Nb 1.6199 0.9352 4.1254
Nb 1.6199 0.9352 8.5073
Zn 0.0000 0.0000 6.3164
C 0.0000 1.8705 3.0187
C 0.0000 1.8705 9.6141
S 1.6199 0.9352 0.0000

***

Entry 12:
24
Lattice="5.0485 -2.9344 0.0000 5.0485 2.9344 0.0000 -3.3772 0.0000 13.4581" Properties=species:S:1:pos:R:3 comment="Sc2Nb4Sb3C3 PBE-GGA optimized geometry" energy_ev_per_atom=-8.29 pbc="T T T"
Sc 2.5498 2.4645 7.9603
Sc 2.4814 2.4645 12.2269
Sc 4.2384 -2.4645 1.2312
Sc 4.1700 -2.4645 5.4978
Nb 2.4962 0.4714 1.0799
Nb 2.5169 0.5229 5.6511
Nb 0.8075 -0.4714 7.8090
Nb 0.8282 -0.5229 12.3802
Nb 5.8915 0.5229 1.0779
Nb 5.9123 0.4714 5.6491
Nb 4.2029 -0.5229 7.8070
Nb 4.2236 -0.4714 12.3782
Sb -0.7900 0.5226 10.1090
Sb 0.8986 -0.5226 3.3799
Sb 2.5156 0.4255 10.0936
Sb 4.2042 -0.4255 3.3645
Sb 5.8212 0.5226 10.0782
Sb 7.5098 -0.5226 3.3491
C 0.8356 1.4672 6.7290
C 4.1938 1.4458 0.0000
C 4.2146 1.4458 6.7290
C 2.5243 -1.4672 0.0000
C 2.5052 -1.4458 6.7290
C 5.9032 -1.4458 0.0000

***

Entry 13:
8
Lattice="3.2993 0.0000 0.0000 -1.6496 2.8572 0.0000 0.0000 0.0000 13.8314" Properties=species:S:1:pos:R:3 comment="Nb4TlSbC2 PBE-GGA optimized geometry" energy_ev_per_atom=-8.49 pbc="T T T"
Nb 0.0000 0.0000 2.2092
Nb 0.0000 0.0000 11.6223
Nb 1.6496 0.9524 4.4914
Nb 1.6496 0.9524 9.3400
Tl 0.0000 0.0000 6.9157
Sb 1.6496 0.9524 0.0000
C 0.0000 1.9048 3.3689
C 0.0000 1.9048 10.4625

***

Entry 14:
24
Lattice="5.2830 -3.0697 0.0000 5.2830 3.0697 0.0000 -3.5685 0.0000 14.5079" Properties=species:S:1:pos:R:3 comment="Y4Nb2Sb3C3 PBE-GGA optimized geometry" energy_ev_per_atom=-7.75 pbc="T T T"
Y 0.8787 0.4609 1.3512
Y 0.8030 0.5430 5.8995
Y -0.9056 -0.4609 8.6052
Y -0.9812 -0.5430 13.1535
Y 7.9788 0.5430 1.3544
Y 7.9031 0.4609 5.9028
Y 6.1945 -0.5430 8.6084
Y 6.1188 -0.4609 13.1567
Nb 4.3499 0.5336 1.0776
Nb 4.4318 0.5336 6.1764
Nb 2.5657 -0.5336 8.3316
Nb 2.6476 -0.5336 13.4303
Sb 4.3909 2.2748 3.6270
Sb 1.0080 0.3996 10.9087
Sb 2.7923 -0.3996 3.6547
Sb 4.2053 0.3996 10.8532
Sb 5.9895 -0.3996 3.5992
Sb 2.6066 -2.2748 10.8809
C 2.6415 1.5348 0.0000
C 2.7100 1.3756 7.2495
C 6.0718 1.3756 0.0045
C 0.8573 -1.5348 7.2540
C 0.9257 -1.3756 14.5034
C 4.2876 -1.3756 7.2584

***

Entry 15:
24
Lattice="5.1504 -2.9956 0.0000 5.1504 2.9956 0.0000 -3.4988 0.0000 13.8504" Properties=species:S:1:pos:R:3 comment="Y2Nb4Sb3C3 PBE-GGA optimized geometry" energy_ev_per_atom=-8.26 pbc="T T T"
Y 2.5881 2.5237 8.3344
Y 2.4645 2.5237 12.4412
Y 4.3375 -2.5237 1.4092
Y 4.2139 -2.5237 5.5160
Nb 2.5386 0.4625 1.0495
Nb 2.5361 0.5478 5.8774
Nb 0.7892 -0.4625 7.9747
Nb 0.7866 -0.5478 12.8026
Nb 6.0154 0.5478 1.0478
Nb 6.0129 0.4625 5.8757
Nb 4.2660 -0.5478 7.9730
Nb 4.2634 -0.4625 12.8010
Sb -0.6433 0.6461 10.4150
Sb 1.1061 -0.6461 3.4898
Sb 2.5263 0.2164 10.3878
Sb 4.2757 -0.2164 3.4626
Sb 5.6959 0.6461 10.3606
Sb 7.4454 -0.6461 3.4354
C 0.8258 1.4978 6.9252
C 4.2481 1.4296 0.0039
C 4.3033 1.4296 6.9213
C 2.5752 -1.4978 0.0000
C 2.4987 -1.4296 6.9291
C 2.5539 -1.4296 13.8465

***

Entry 16:
5
Lattice="4.3967 0.0000 0.0000 0.0000 4.3967 0.0000 0.0000 0.0000 4.3967" Properties=species:S:1:pos:R:3 comment="ScNb3C PBE-GGA optimized geometry" energy_ev_per_atom=-9.27 pbc="T T T"
Sc 0.0000 0.0000 0.0000
Nb 0.0000 2.1984 2.1984
Nb 2.1984 0.0000 2.1984
Nb 2.1984 2.1984 0.0000
C 2.1984 2.1984 2.1984

***

Entry 17:
4
Lattice="1.6040 0.9261 5.3097 -1.6040 0.9261 5.3097 0.0000 -1.8522 5.3097" Properties=species:S:1:pos:R:3 comment="ScNbC2 PBE-GGA optimized geometry" energy_ev_per_atom=-9.29 pbc="T T T"
Sc 0.0000 0.0000 0.0000
Nb 0.0000 0.0000 7.9645
C 0.0000 0.0000 3.9147
C 0.0000 0.0000 12.0143

***

Entry 18:
8
Lattice="3.3242 0.0000 0.0000 -1.6621 2.8789 0.0000 0.0000 0.0000 14.7124" Properties=species:S:1:pos:R:3 comment="Sc3NbSn2C2 PBE-GGA optimized geometry" energy_ev_per_atom=-7.58 pbc="T T T"
Sc 0.0000 0.0000 0.0000
Sc 0.0000 0.0000 4.9881
Sc 0.0000 1.9192 7.4225
Nb 0.0000 1.9192 12.3150
Sn 0.0000 0.0000 9.9780
Sn 0.0000 1.9192 2.4778
C 1.6621 0.9596 6.2150
C 1.6621 0.9596 13.4635

***

Entry 19:
24
Lattice="4.9785 -2.8832 0.0000 4.9785 2.8832 0.0000 -3.3643 0.0000 14.4517" Properties=species:S:1:pos:R:3 comment="Sc4Nb2Sn3C3 PBE-GGA optimized geometry" energy_ev_per_atom=-7.76 pbc="T T T"
Sc 0.8295 0.4382 1.2314
Sc 0.7729 0.5026 5.9938
Sc -0.8526 -0.4382 8.4572
Sc -0.9093 -0.5026 13.2197
Sc 7.5020 0.5026 1.2320
Sc 7.4453 0.4382 5.9945
Sc 5.8198 -0.5026 8.4579
Sc 5.7632 -0.4382 13.2203
Nb 4.1183 0.4978 1.1037
Nb 4.1566 0.4978 6.1222
Nb 2.4361 -0.4978 8.3295
Nb 2.4744 -0.4978 13.3480
Sn 4.1374 2.2980 3.6129
Sn 0.8758 0.4381 10.8604
Sn 2.5579 -0.4381 3.6345
Sn 4.0348 0.4381 10.8172
Sn 5.7169 -0.4381 3.5913
Sn 2.4553 -2.2980 10.8388
C 2.4893 1.4416 0.0000
C 2.5036 1.3791 7.2259
C 2.4069 1.3791 14.4517
C 0.8071 -1.4416 7.2258
C 4.1858 -1.3791 0.0000
C 4.0891 -1.3791 7.2258

***

Entry 20:
8
Lattice="3.2875 0.0000 0.0000 -1.6437 2.8470 0.0000 0.0000 0.0000 10.5770" Properties=species:S:1:pos:R:3 comment="TmScNb2C4 PBE-GGA optimized geometry" energy_ev_per_atom=-8.92 pbc="T T T"
Tm 0.0000 0.0000 0.0000
Sc 0.0000 0.0000 5.2885
Nb 0.0000 1.8980 7.8498
Nb 1.6437 0.9490 2.7272
C 0.0000 1.8980 1.5111
C 0.0000 1.8980 3.9328
C 1.6437 0.9490 6.6442
C 1.6437 0.9490 9.0659